Tb6NdDy2Mg | PBE | relaxed

* space-group type: C2/c, No. 15
* total energy: -4.222 eV/atom
* M_tot: 0.00 Bohr magnetons per cell
* energy of formation: 0.11 eV/atom

Cell lengths 6.632, 10.900, 10.900 Å; angles 125.25, 86.07, 86.07 degrees
Atoms (fractional coordinates):
Tb 0.216 0.568 0.086
Tb 0.716 0.086 0.568
Tb 0.019 0.690 0.521
Tb 0.481 0.479 0.310
Tb 0.784 0.432 0.914
Tb 0.519 0.521 0.690
Tb 0.536 0.787 0.076
Tb 0.964 0.924 0.213
Tb 0.284 0.914 0.432
Tb 0.981 0.310 0.479
Tb 0.036 0.076 0.787
Tb 0.464 0.213 0.924
Dy 0.497 0.176 0.344
Dy 0.503 0.824 0.656
Dy 0.997 0.344 0.176
Dy 0.003 0.656 0.824
Nd 0.750 0.010 0.990
Nd 0.250 0.990 0.010
Mg 0.750 0.708 0.292
Mg 0.250 0.292 0.708

TbNd4Dy2Mg | PBE | relaxed

* space-group type: P4/mmm, No. 123
* total energy: -4.258 eV/atom
* M_tot: 0.00 Bohr magnetons per cell
* energy of formation: 0.05 eV/atom

Cell lengths 5.787, 5.792, 9.683 Å; angles 53.25, 90.00, 90.00 degrees
Atoms (fractional coordinates):
Dy 0.000 0.000 0.000
Dy 0.500 0.000 0.500
Mg 0.000 0.500 0.500
Nd 0.000 0.238 0.262
Nd 0.500 0.737 0.263
Nd 0.500 0.263 0.737
Nd 0.000 0.762 0.738
Tb 0.500 0.500 0.000

Tb2NdDy2Mg2 | PBE | relaxed

* space-group type: R-3m, No. 166
* total energy: -3.810 eV/atom
* M_tot: 0.00 Bohr magnetons per cell
* energy of formation: -0.03 eV/atom

Cell lengths 5.485, 5.485, 8.649 Å; angles 71.51, 71.51, 60.00 degrees
Atoms (fractional coordinates):
Mg 0.710 0.710 0.869
Mg 0.290 0.290 0.131
Nd 0.000 0.000 0.000
Dy 0.428 0.428 0.716
Dy 0.572 0.572 0.284
Tb 0.844 0.844 0.469
Tb 0.156 0.156 0.531

Tb2Nd2Dy4Mg | PBE | relaxed

* space-group type: P-1, No. 2
* total energy: -4.177 eV/atom
* M_tot: 0.00 Bohr magnetons per cell
* energy of formation: 0.13 eV/atom

Cell lengths 7.110, 8.530, 6.935 Å; angles 108.75, 123.68, 100.06 degrees
Atoms (fractional coordinates):
Mg 0.000 0.000 0.000
Tb 0.186 0.649 0.842
Tb 0.814 0.351 0.158
Dy 0.212 0.218 0.584
Dy 0.788 0.782 0.416
Dy 0.301 0.397 0.158
Dy 0.699 0.603 0.842
Nd 0.350 0.820 0.522
Nd 0.650 0.180 0.478

Tb6Nd2DyMg | PBE | relaxed

* space-group type: C2/c, No. 15
* total energy: -4.251 eV/atom
* M_tot: 0.00 Bohr magnetons per cell
* energy of formation: 0.10 eV/atom

Cell lengths 6.640, 11.041, 11.041 Å; angles 126.55, 86.01, 86.01 degrees
Atoms (fractional coordinates):
Nd 0.996 0.349 0.184
Nd 0.004 0.651 0.816
Nd 0.496 0.184 0.349
Nd 0.504 0.816 0.651
Tb 0.528 0.795 0.089
Tb 0.472 0.205 0.911
Tb 0.518 0.531 0.703
Tb 0.972 0.911 0.205
Tb 0.223 0.562 0.084
Tb 0.277 0.916 0.438
Tb 0.723 0.084 0.562
Tb 0.982 0.297 0.469
Tb 0.018 0.703 0.531
Tb 0.028 0.089 0.795
Tb 0.777 0.438 0.916
Tb 0.482 0.469 0.297
Mg 0.250 0.294 0.706
Mg 0.750 0.706 0.294
Dy 0.250 0.993 0.007
Dy 0.750 0.007 0.993

Tb2NdDy2Mg | PBE | relaxed

* space-group type: Pnnm, No. 58
* total energy: -4.040 eV/atom
* M_tot: 0.00 Bohr magnetons per cell
* energy of formation: 0.10 eV/atom

Cell lengths 3.676, 5.536, 18.654 Å; angles 90.00, 90.00, 90.00 degrees
Atoms (fractional coordinates):
Mg 0.000 0.000 0.500
Mg 0.500 0.500 0.000
Dy 0.000 0.499 0.865
Dy 0.500 0.001 0.365
Dy 0.000 0.501 0.135
Dy 0.500 0.999 0.635
Tb 0.000 0.501 0.316
Tb 0.500 0.001 0.184
Tb 0.000 0.499 0.684
Tb 0.500 0.999 0.816
Nd 0.500 0.500 0.500
Nd 0.000 0.000 0.000

TbNd6Dy2Mg | PBE | relaxed

* space-group type: C2/c, No. 15
* total energy: -4.288 eV/atom
* M_tot: 0.00 Bohr magnetons per cell
* energy of formation: 0.12 eV/atom

Cell lengths 9.283, 9.025, 9.025 Å; angles 117.78, 92.14, 92.14 degrees
Atoms (fractional coordinates):
Dy 0.551 0.210 0.314
Dy 0.051 0.314 0.210
Dy 0.449 0.790 0.686
Dy 0.949 0.686 0.790
Nd 0.396 0.507 0.280
Nd 0.104 0.720 0.493
Nd 0.604 0.493 0.720
Nd 0.947 0.869 0.218
Nd 0.702 0.991 0.564
Nd 0.896 0.280 0.507
Nd 0.798 0.436 0.009
Nd 0.298 0.009 0.436
Nd 0.553 0.782 0.131
Nd 0.447 0.218 0.869
Nd 0.202 0.564 0.991
Nd 0.053 0.131 0.782
Tb 0.250 0.973 0.027
Tb 0.750 0.027 0.973
Mg 0.750 0.577 0.423
Mg 0.250 0.423 0.577

TbNd2Dy5Mg | PBE | relaxed

* space-group type: Cmc2_1, No. 36
* total energy: -4.212 eV/atom
* M_tot: 0.00 Bohr magnetons per cell
* energy of formation: 0.10 eV/atom

Cell lengths 5.463, 10.426, 10.518 Å; angles 90.00, 90.00, 105.19 degrees
Atoms (fractional coordinates):
Mg 0.595 0.189 0.007
Mg 0.405 0.811 0.507
Nd 0.115 0.231 0.298
Nd 0.115 0.231 0.719
Nd 0.885 0.769 0.219
Nd 0.885 0.769 0.798
Dy 0.500 0.999 0.758
Dy 0.712 0.423 0.810
Dy 0.711 0.422 0.206
Dy 0.987 0.973 0.509
Dy 0.013 0.027 0.009
Dy 0.289 0.578 0.706
Dy 0.618 0.236 0.509
Dy 0.382 0.764 0.009
Dy 0.288 0.577 0.310
Dy 0.500 0.001 0.258
Tb 0.204 0.408 0.008
Tb 0.796 0.592 0.508

TbNdDy2Mg | PBE | relaxed

* space-group type: P2_1/m, No. 11
* total energy: -4.023 eV/atom
* M_tot: 0.00 Bohr magnetons per cell
* energy of formation: 0.02 eV/atom

Cell lengths 5.614, 6.153, 9.457 Å; angles 71.06, 90.00, 90.00 degrees
Atoms (fractional coordinates):
Dy 0.750 0.755 0.797
Dy 0.750 0.982 0.395
Dy 0.250 0.245 0.203
Dy 0.250 0.018 0.605
Mg 0.250 0.424 0.808
Mg 0.750 0.576 0.192
Nd 0.750 0.354 0.611
Nd 0.250 0.646 0.389
Tb 0.250 0.832 0.002
Tb 0.750 0.168 0.998

Tb5Nd2DyMg | PBE | relaxed

* space-group type: Cmc2_1, No. 36
* total energy: -4.227 eV/atom
* M_tot: 0.00 Bohr magnetons per cell
* energy of formation: 0.09 eV/atom

Cell lengths 5.475, 10.434, 10.560 Å; angles 90.00, 90.00, 105.21 degrees
Atoms (fractional coordinates):
Tb 0.500 0.001 0.258
Tb 0.289 0.579 0.706
Tb 0.381 0.763 0.009
Tb 0.500 0.999 0.758
Tb 0.712 0.423 0.811
Tb 0.288 0.577 0.311
Tb 0.014 0.028 0.009
Tb 0.711 0.421 0.206
Tb 0.986 0.972 0.509
Tb 0.619 0.237 0.509
Nd 0.885 0.769 0.219
Nd 0.115 0.231 0.719
Nd 0.885 0.769 0.798
Nd 0.115 0.231 0.298
Dy 0.204 0.408 0.009
Dy 0.796 0.592 0.509
Mg 0.405 0.810 0.507
Mg 0.595 0.190 0.007

TbNd2DyMg | PBE | relaxed

* space-group type: Pmma, No. 51
* total energy: -3.910 eV/atom
* M_tot: 0.00 Bohr magnetons per cell
* energy of formation: 0.16 eV/atom

Cell lengths 7.276, 7.478, 5.945 Å; angles 89.99, 90.00, 90.00 degrees
Atoms (fractional coordinates):
Mg 0.000 0.000 0.500
Mg 0.000 0.000 0.000
Tb 0.374 0.000 0.750
Tb 0.626 0.000 0.250
Nd 0.691 0.715 0.750
Nd 0.691 0.285 0.750
Nd 0.309 0.285 0.250
Nd 0.309 0.715 0.250
Dy 0.149 0.500 0.750
Dy 0.851 0.500 0.250

Tb3Nd2Dy6Mg | PBE | relaxed

* space-group type: C2/m, No. 12
* total energy: -4.367 eV/atom
* M_tot: 0.00 Bohr magnetons per cell
* energy of formation: 0.02 eV/atom

Cell lengths 6.139, 6.139, 11.771 Å; angles 95.02, 95.02, 120.05 degrees
Atoms (fractional coordinates):
Dy 0.917 0.585 0.749
Dy 0.585 0.917 0.749
Dy 0.415 0.083 0.251
Dy 0.083 0.415 0.251
Dy 0.248 0.248 0.748
Dy 0.752 0.752 0.252
Tb 0.834 0.166 0.500
Tb 0.500 0.500 0.500
Tb 0.166 0.834 0.500
Nd 0.334 0.666 0.000
Nd 0.666 0.334 0.000
Mg 0.000 0.000 0.000